# Ga2ReSb

An optimized crystal structure of Ga2ReSb (PBE, Alexandria via LeMat-Bulk).

Results
Formation energy (no corrections) in meV/atom: 943
Total magnetic moment in μB/f.u.: 1.9

Cell lengths 5.8761, 5.8761, 7.5181 Å; angles 67.00, 67.00, 90.00 degrees
Closest atoms and distances in Å follow each position.
Fractional positions:
Re (0.7500, 0.2500, 0.5000)  4 Ga 2.49
Ga (0.8750, 0.9094, 0.7500)  2 Re 2.49, 2 Sb 2.72
Ga (0.0906, 0.6250, 0.2500)  2 Re 2.49, 2 Sb 2.72
Ga (0.3750, 0.3406, 0.7500)  2 Re 2.49, 2 Sb 2.72
Sb (0.2500, 0.7500, 0.5000)  4 Ga 2.72
Sb (0.5000, 0.5000, 0.0000)  4 Ga 2.72
Ga (0.6594, 0.1250, 0.2500)  2 Re 2.49, 2 Sb 2.72
Re (0.0000, 0.0000, 0.0000)  4 Ga 2.49

# GaRe2Sb

An optimized crystal structure of GaRe2Sb (PBE, Alexandria via LeMat-Bulk).

Results
E above lowest polymorph in eV/f.u.: 0.775
Formation energy (no corrections) in meV/atom: 663
Total magnetic moment in μB/f.u.: 0.0

Cell lengths 4.1077, 4.1077, 9.5393 Å; angles 77.57, 77.57, 90.00 degrees
Closest atoms and distances in Å follow each position.
Fractional positions:
Re (0.8750, 0.7978, 0.7500)  2 Re 2.50, 2 Ga 2.59
Re (0.2022, 0.6250, 0.2500)  2 Re 2.50, 2 Ga 2.59
Re (0.5478, 0.1250, 0.2500)  2 Re 2.50, 2 Ga 2.59
Ga (0.5000, 0.5000, 0.0000)  4 Re 2.59
Sb (0.7500, 0.2500, 0.5000)  4 Re 2.83, 4 Ga 2.90
Ga (0.2500, 0.7500, 0.5000)  4 Re 2.59
Re (0.3750, 0.4522, 0.7500)  2 Re 2.50, 2 Ga 2.59
Sb (0.0000, 0.0000, 0.0000)  4 Re 2.83, 4 Ga 2.90